[1]
# Sm3Ga6Rh5

A relaxed structure of Sm3Ga6Rh5 (PBE-GGA, the Alexandria database).

Calculated values
Total magnetic moment: 0.000 μB per atom
DFT formation energy: -0.7725 eV/atom

abc: 4.2576 9.3874 12.7287
angles: 90.00 90.00 90.00
Fractional positions:
1 Sm 0.0000 0.2520 0.6939
2 Sm 0.5000 0.7480 0.1939
3 Sm 0.5000 0.7480 0.8061
4 Sm 0.0000 0.2585 0.0000
5 Sm 0.5000 0.7415 0.5000
6 Sm 0.0000 0.2520 0.3061
7 Ga 0.0000 0.9806 0.8481
8 Ga 0.5000 0.0194 0.6519
9 Ga 0.5000 0.4061 0.8203
10 Ga 0.5000 0.5683 0.0000
11 Ga 0.0000 0.4317 0.5000
12 Ga 0.0000 0.5939 0.6797
13 Ga 0.0000 0.5939 0.3203
14 Ga 0.5000 0.9631 0.0000
15 Ga 0.0000 0.9806 0.1519
16 Ga 0.5000 0.4061 0.1797
17 Ga 0.0000 0.0369 0.5000
18 Ga 0.5000 0.0194 0.3481
19 Rh 0.0000 0.5339 0.8864
20 Rh 0.0000 0.8702 0.6593
21 Rh 0.0000 0.7927 0.0000
22 Rh 0.5000 0.4661 0.6136
23 Rh 0.5000 0.2073 0.5000
24 Rh 0.0000 0.5339 0.1136
25 Rh 0.5000 0.4661 0.3864
26 Rh 0.0000 0.8702 0.3407
27 Rh 0.5000 0.1298 0.8407
28 Rh 0.5000 0.1298 0.1593

[2]
# Ca4InSn

A relaxed structure of Ca4InSn (PBE-GGA, the Alexandria database).

Calculated values
Energy above the most stable polymorph in this dataset: 0 meV per atom
Total magnetic moment: 0.000 μB per atom
DFT formation energy: -0.3919 eV/atom

abc: 3.7576 7.4499 9.1784
angles: 119.85 78.19 75.39
Fractional positions:
1 Ca 0.8238 0.5339 0.8185
2 Ca 0.3180 0.0410 0.3231
3 Ca 0.1762 0.4661 0.1815
4 Ca 0.6820 0.9590 0.6769
5 In 0.0000 0.0000 0.0000
6 Sn 0.5000 0.5000 0.5000

[3]
# LiMg2Pt

A relaxed structure of LiMg2Pt (PBE-GGA, the Alexandria database).

Calculated values
Energy above the most stable polymorph in this dataset: 175 meV per atom
Total magnetic moment: 0.000 μB per atom
DFT formation energy: -0.4632 eV/atom

abc: 4.4436 2.9517 5.3423
angles: 77.31 90.00 90.00
Fractional positions:
1 Li 0.5000 0.5960 0.7549
2 Mg 0.0000 0.9867 0.9487
3 Mg 0.5000 0.2555 0.3075
4 Pt 0.0000 0.6617 0.4889

[4]
# AlTc2Te

A relaxed structure of AlTc2Te (PBE-GGA, the Alexandria database).

Calculated values
Energy above the most stable polymorph in this dataset: 236 meV per atom
Total magnetic moment: 0.000 μB per atom
Energy relative to the elements, uncorrected: 0.249 eV per atom

abc: 8.2815 8.2815 8.2815
angles: 21.53 21.53 21.53
Fractional positions:
1 Te 0.2500 0.2500 0.2500
2 Tc 0.0002 0.0002 0.0002
3 Tc 0.4998 0.4998 0.4998
4 Al 0.7500 0.7500 0.7500

[5]
# Cd2ReNiBi

A relaxed structure of Cd2ReNiBi (PBE-GGA, the Alexandria database).

Calculated values
Total magnetic moment: 0.075 μB per atom
DFT formation energy: 1.2857 eV/atom

abc: 5.2787 5.1475 5.2787
angles: 90.00 90.00 90.00
Each line ends with the local moment (μB).
Fractional positions:
1 Re 0.0000 0.0000 0.0000  0.46
2 Ni 0.5000 0.5000 0.5000  -0.13
3 Bi 0.0000 0.5000 0.0000  -0.03
4 Cd 0.0000 0.0000 0.5000  0.01
5 Cd 0.5000 0.0000 0.0000  0.00

[6]
# Hf4Ga3H2

A relaxed structure of Hf4Ga3H2 (PBE-GGA, the Alexandria database).

Calculated values
Total magnetic moment: 0.000 μB per atom
DFT total energy: -59.4 eV per formula unit

abc: 4.0844 5.5267 7.7263
angles: 117.83 90.00 111.69
Fractional positions:
1 Hf 0.6927 0.3854 0.1019
2 Hf 0.3073 0.6146 0.8981
3 Hf 0.8923 0.7845 0.6045
4 Hf 0.1077 0.2155 0.3955
5 Ga 0.6205 0.2411 0.6783
6 Ga 0.0000 0.0000 0.0000
7 Ga 0.3795 0.7589 0.3217
8 H 0.6790 0.3580 0.3675
9 H 0.3210 0.6420 0.6325

[7]
# PdW3Cl

A relaxed structure of PdW3Cl (PBE-GGA, the Alexandria database).

Calculated values
Energy above the most stable polymorph in this dataset: 0 meV per atom
Total magnetic moment: 0.000 μB per atom
Energy relative to the elements, uncorrected: 1.456 eV per atom

abc: 4.3822 4.3822 4.3822
angles: 90.00 90.00 90.00
Fractional positions:
1 Pd 0.5000 0.5000 0.5000
2 W 0.0000 0.5000 0.0000
3 W 0.0000 0.0000 0.5000
4 W 0.5000 0.0000 0.0000
5 Cl 0.0000 0.0000 0.0000

[8]
# HfTc2As

A relaxed structure of HfTc2As (PBE-GGA, the Alexandria database).

Calculated values
Total magnetic moment: 0.000 μB per atom
DFT formation energy: 0.0487 eV/atom

abc: 3.9260 3.9260 9.7138
angles: 78.34 78.34 90.00
Fractional positions:
1 As 0.5000 0.5000 0.0000
2 As 0.2500 0.7500 0.5000
3 Hf 0.0000 0.0000 0.0000
4 Hf 0.7500 0.2500 0.5000
5 Tc 0.5543 0.1250 0.2500
6 Tc 0.1957 0.6250 0.2500
7 Tc 0.3750 0.4457 0.7500
8 Tc 0.8750 0.8043 0.7500

[9]
# Ag2SnSb

A relaxed structure of Ag2SnSb (PBE-GGA, the Alexandria database).

Calculated values
Total magnetic moment: 0.000 μB per atom
Energy relative to the elements, uncorrected: 0.077 eV per atom

abc: 3.3817 6.0918 9.1713
angles: 97.50 99.42 89.78
Fractional positions:
1 Ag 0.3137 0.0306 0.2219
2 Ag 0.0814 0.5829 0.7323
3 Ag 0.5788 0.9768 0.7386
4 Ag 0.3482 0.5289 0.2490
5 Sn 0.7185 0.7330 0.0068
6 Sn 0.9426 0.8264 0.4642
7 Sb 0.1769 0.2607 0.9603
8 Sb 0.4832 0.2987 0.5106

[10]
# TbPrSc2As4

A relaxed structure of TbPrSc2As4 (PBE-GGA, the Alexandria database).

Calculated values
Total magnetic moment: 0.000 μB per atom
DFT formation energy: -1.4175 eV/atom

abc: 4.0665 7.0042 7.0370
angles: 70.42 90.00 90.00
Fractional positions:
1 Tb 0.0000 0.5000 0.5000
2 Pr 0.5000 0.5000 0.0000
3 Sc 0.0000 0.0000 0.0000
4 Sc 0.5000 0.0000 0.5000
5 As 0.0000 0.7732 0.7374
6 As 0.0000 0.2268 0.2626
7 As 0.5000 0.7695 0.2483
8 As 0.5000 0.2305 0.7517

[11]
# Sn2AsAu

A relaxed structure of Sn2AsAu (PBE-GGA, the Alexandria database).

Calculated values
Total magnetic moment: 0.000 μB per atom
DFT formation energy: -0.0500 eV/atom

abc: 3.9524 3.9524 7.5774
angles: 74.88 74.88 60.00
Fractional positions:
1 Sn 0.0831 0.0831 0.7508
2 Sn 0.2527 0.2527 0.2420
3 As 0.6659 0.6659 0.0024
4 Au 0.4984 0.4984 0.5048

[12]
# YNO

A relaxed structure of YNO (PBE-GGA, the Alexandria database).

Calculated values
Total magnetic moment: 0.036 μB per atom
Energy relative to the elements, uncorrected: -2.164 eV per atom

abc: 3.7412 3.8173 6.6088
angles: 96.42 90.00 119.34
Each line ends with the local moment (μB).
Fractional positions:
1 Y 0.1940 0.3880 0.7208  0.01
2 Y 0.8060 0.6120 0.2792  0.01
3 N 0.5698 0.1397 0.9435  0.06
4 N 0.4302 0.8603 0.0565  0.06
5 O 0.1472 0.2944 0.3627  0.00
6 O 0.8528 0.7056 0.6373  0.00

[13]
# NaNbCl6

A relaxed structure of NaNbCl6 (PBE-GGA, the Alexandria database).

Calculated values
Energy above the most stable polymorph in this dataset: 0 meV per atom
Total magnetic moment: 0.000 μB per atom
Energy relative to the elements, uncorrected: -1.385 eV per atom

abc: 7.0381 6.6840 20.6314
angles: 89.08 90.00 90.00
Fractional positions:
1 Na 0.8058 0.2056 0.7435
2 Na 0.3058 0.7944 0.7565
3 Na 0.1942 0.7944 0.2565
4 Na 0.6942 0.2056 0.2435
5 Nb 0.7131 0.7369 0.6196
6 Nb 0.2131 0.2631 0.8804
7 Nb 0.2869 0.2631 0.3804
8 Nb 0.7869 0.7369 0.1196
9 Cl 0.8338 0.6019 0.2332
10 Cl 0.3338 0.3981 0.2668
11 Cl 0.1662 0.3981 0.7668
12 Cl 0.6662 0.6019 0.7332
13 Cl 0.5994 0.4581 0.1002
14 Cl 0.0994 0.5419 0.3998
15 Cl 0.4006 0.5419 0.8998
16 Cl 0.9006 0.4581 0.6002
17 Cl 0.5083 0.9094 0.1644
18 Cl 0.0083 0.0906 0.3356
19 Cl 0.4917 0.0906 0.8356
20 Cl 0.9917 0.9094 0.6644
21 Cl 0.7389 0.8882 0.0202
22 Cl 0.2389 0.1118 0.4798
23 Cl 0.2611 0.1118 0.9798
24 Cl 0.7611 0.8882 0.5202
25 Cl 0.9690 0.0225 0.1592
26 Cl 0.4690 0.9775 0.3408
27 Cl 0.0310 0.9775 0.8408
28 Cl 0.5310 0.0225 0.6592
29 Cl 0.0689 0.5835 0.0909
30 Cl 0.5689 0.4165 0.4091
31 Cl 0.9311 0.4165 0.9091
32 Cl 0.4311 0.5835 0.5909

[14]
# LaZrCo10

A relaxed structure of LaZrCo10 (PBE-GGA, the Alexandria database).

Calculated values
Total magnetic moment: 1.103 μB per atom
DFT formation energy: -0.0685 eV/atom

abc: 3.9695 4.8831 8.5169
angles: 90.00 90.00 90.00
Each line ends with the local moment (μB).
Fractional positions:
1 La 0.0000 0.0000 0.0000  -0.23
2 Zr 0.0000 0.5000 0.5000  -0.42
3 Co 0.0000 0.0000 0.3445  1.43
4 Co 0.0000 0.5000 0.8181  1.38
5 Co 0.0000 0.5000 0.1819  1.38
6 Co 0.0000 0.0000 0.6555  1.43
7 Co 0.5000 0.0000 0.5000  1.51
8 Co 0.5000 0.5000 0.0000  1.45
9 Co 0.5000 0.2596 0.2634  1.48
10 Co 0.5000 0.7404 0.7366  1.48
11 Co 0.5000 0.7404 0.2634  1.48
12 Co 0.5000 0.2596 0.7366  1.48

[15]
# LiHfAg2

A relaxed structure of LiHfAg2 (PBE-GGA, the Alexandria database).

Calculated values
Energy above the most stable polymorph in this dataset: 400 meV per atom
Total magnetic moment: 0.189 μB per atom
DFT formation energy: 0.3470 eV/atom

abc: 7.2867 7.2867 5.8708
angles: 51.64 51.64 90.00
Each line ends with the local moment (μB).
Fractional positions:
1 Hf 0.0000 0.0000 0.0000  0.39
2 Hf 0.7500 0.2500 0.5000  0.39
3 Ag 0.5827 0.1250 0.2500  0.04
4 Ag 0.1673 0.6250 0.2500  0.04
5 Ag 0.3750 0.4173 0.7500  0.04
6 Ag 0.8750 0.8327 0.7500  0.04
7 Li 0.5000 0.5000 0.0000  0.01
8 Li 0.2500 0.7500 0.5000  0.01

[16]
# Ni2P

A relaxed structure of Ni2P (PBE-GGA, the Alexandria database).

Calculated values
Total magnetic moment: 0.000 μB per atom
DFT formation energy: -0.3786 eV/atom

abc: 4.3609 4.3609 3.8825
angles: 90.00 90.00 97.79
Fractional positions:
1 Ni 0.8211 0.4469 0.2500
2 Ni 0.1789 0.5531 0.7500
3 Ni 0.4469 0.8211 0.2500
4 Ni 0.5531 0.1789 0.7500
5 P 0.2781 0.2781 0.2500
6 P 0.7219 0.7219 0.7500

[17]
# YMg2Ga

A relaxed structure of YMg2Ga (PBE-GGA, the Alexandria database).

Calculated values
Total magnetic moment: 0.000 μB per atom
DFT formation energy: -0.0168 eV/atom

abc: 4.2565 4.2565 11.3966
angles: 79.24 79.24 90.00
Fractional positions:
1 Y 0.0000 0.0000 0.0000
2 Y 0.7500 0.2500 0.5000
3 Mg 0.6082 0.1250 0.2500
4 Mg 0.1418 0.6250 0.2500
5 Mg 0.3750 0.3918 0.7500
6 Mg 0.8750 0.8582 0.7500
7 Ga 0.5000 0.5000 0.0000
8 Ga 0.2500 0.7500 0.5000

[18]
# NaMgV

A relaxed structure of NaMgV (PBE-GGA, the Alexandria database).

Calculated values
Energy above the most stable polymorph in this dataset: 212 meV per atom
Total magnetic moment: 0.000 μB per atom
DFT formation energy: 0.4133 eV/atom

abc: 9.9061 4.5598 2.9668
angles: 87.04 96.18 84.40
Fractional positions:
1 Na 0.1451 0.5771 0.2070
2 Na 0.9348 0.1189 0.6030
3 Mg 0.5047 0.5048 0.4177
4 Mg 0.3468 0.0349 0.7984
5 V 0.7469 0.6490 0.9356
6 V 0.6504 0.9919 0.1305

[19]
# KLiFe2

A relaxed structure of KLiFe2 (PBE-GGA, the Alexandria database).

Calculated values
Energy above the most stable polymorph in this dataset: 455 meV per atom
Total magnetic moment: 1.301 μB per atom
DFT formation energy: 0.9987 eV/atom

abc: 5.8461 5.8461 2.7066
angles: 90.00 90.00 128.35
Each line ends with the local moment (μB).
Fractional positions:
1 Fe 0.0000 0.0000 0.0000  2.78
2 Fe 0.5000 0.5000 0.0000  2.78
3 K 0.5000 0.0000 0.5000  -0.05
4 Li 0.0000 0.5000 0.5000  -0.07

[20]
# MgCoTc3

A relaxed structure of MgCoTc3 (PBE-GGA, the Alexandria database).

Calculated values
Energy above the most stable polymorph in this dataset: 0 meV per atom
Total magnetic moment: 0.000 μB per atom
DFT formation energy: 1.1456 eV/atom

abc: 4.4378 4.4378 4.4378
angles: 90.00 90.00 90.00
Fractional positions:
1 Mg 0.5000 0.5000 0.5000
2 Co 0.0000 0.0000 0.0000
3 Tc 0.0000 0.5000 0.0000
4 Tc 0.0000 0.0000 0.5000
5 Tc 0.5000 0.0000 0.0000

[21]
# Na2Li3WSe6

A relaxed structure of Na2Li3WSe6 (PBE-GGA, the Alexandria database).

Calculated values
Total magnetic moment: 0.000 μB per atom
Energy relative to the elements, uncorrected: -0.714 eV per atom

abc: 7.1519 7.1519 6.4160
angles: 102.79 102.79 118.57
Fractional positions:
1 Na 0.3335 0.6665 0.0000
2 Na 0.6665 0.3335 0.0000
3 Li 0.1943 0.8057 0.5000
4 Li 0.8057 0.1943 0.5000
5 Li 0.5000 0.5000 0.5000
6 W 0.0000 0.0000 0.0000
7 Se 0.9022 0.6087 0.7552
8 Se 0.8472 0.8472 0.2926
9 Se 0.0978 0.3913 0.2448
10 Se 0.6087 0.9022 0.7552
11 Se 0.1528 0.1528 0.7074
12 Se 0.3913 0.0978 0.2448

[22]
# Ba2MgIr

A relaxed structure of Ba2MgIr (PBE-GGA, the Alexandria database).

Calculated values
Total magnetic moment: 0.000 μB per atom
DFT formation energy: 0.0578 eV/atom

abc: 3.9173 3.8655 9.7412
angles: 66.63 90.00 90.00
Fractional positions:
1 Ba 0.0000 0.9473 0.0530
2 Ba 0.0000 0.5527 0.4470
3 Ir 0.5000 0.2500 0.2500
4 Mg 0.5000 0.7500 0.7500

[23]
# InAsPd3

A relaxed structure of InAsPd3 (PBE-GGA, the Alexandria database).

Calculated values
Energy above the most stable polymorph in this dataset: 1123 meV per atom
Total magnetic moment: 0.000 μB per atom
DFT formation energy: 0.7321 eV/atom

abc: 4.9088 4.9088 4.9088
angles: 90.00 90.00 90.00
Fractional positions:
1 As 0.5000 0.5000 0.5000
2 Pd 0.0000 0.5000 0.0000
3 Pd 0.0000 0.0000 0.5000
4 Pd 0.5000 0.0000 0.0000
5 In 0.0000 0.0000 0.0000

[24]
# BaSb4Rh

A relaxed structure of BaSb4Rh (PBE-GGA, the Alexandria database).

Calculated values
Total magnetic moment: 0.141 μB per atom
Energy relative to the elements, uncorrected: 0.147 eV per atom

abc: 6.2846 6.2846 6.2846
angles: 60.00 60.00 60.00
Each line ends with the local moment (μB).
Fractional positions:
1 Ba 0.7500 0.7500 0.7500  0.00
2 Sb 0.8798 0.3734 0.3734  0.01
3 Sb 0.3734 0.3734 0.8798  0.01
4 Sb 0.3734 0.8798 0.3734  0.01
5 Sb 0.3734 0.3734 0.3734  0.01
6 Rh 0.0000 0.0000 0.0000  0.69